# 1
Material: LaP2O
Method: DFT, PBE
State: relaxed

Unit cell a=4.8411 b=4.8411 c=13.1579 alpha=90.00 beta=90.00 gamma=90.00
Last column: nearest neighbours and their distance in Å.
Space group I4_1/amd (No. 141, origin choice 2)
Inequivalent atoms, fractional coordinates:
La: 0.0000 0.2500 0.3750 (multiplicity 4)  8 P 3.17, 4 O 3.42
P: 0.0000 0.0000 0.0000 (multiplicity 8)  2 O 2.04
O: 0.0000 0.2500 0.8750 (multiplicity 4)  4 P 2.04

Results
Total DFT energy (no corrections) = -93.579 eV for the cell shown
ΔE_f (raw) = -0.672 eV/atom


# 2
Material: LaP3O
Method: DFT, PBE
State: relaxed

Unit cell a=4.3898 b=4.3898 c=4.3898 alpha=90.00 beta=90.00 gamma=90.00
Last column: nearest neighbours and their distance in Å.
Space group Pm-3m (No. 221)
Inequivalent atoms, fractional coordinates:
La: 0.0000 0.0000 0.0000 (multiplicity 1)  12 P 3.10
P: 0.0000 0.5000 0.5000 (multiplicity 3)  2 O 2.19
O: 0.5000 0.5000 0.5000 (multiplicity 1)  6 P 2.19

Results
Distance to the lowest polymorph of the same formula = 0.000 eV/atom
Total DFT energy (no corrections) = -27.961 eV for the cell shown
ΔE_f (raw) = -0.369 eV/atom


# 3
Material: LaPO2
Method: DFT, PBE
State: relaxed

Unit cell a=3.8674 b=3.8674 c=16.8255 alpha=90.00 beta=90.00 gamma=120.00
Last column: nearest neighbours and their distance in Å.
Space group R-3m (No. 166, hexagonal axes)
Inequivalent atoms, fractional coordinates:
La: 0.0000 0.0000 0.0000 (multiplicity 3)  6 O 2.42
P: 0.0000 0.0000 0.5000 (multiplicity 3)  2 O 1.86
O: 0.0000 0.0000 0.3892 (multiplicity 6)  1 P 1.86

Results
Total DFT energy (no corrections) = -84.186 eV for the cell shown
ΔE_f (raw) = -1.952 eV/atom